# ScH3Ru | Alexandria via LeMat-Bulk | PBE | optimized geometry
data_ScH3Ru
_chemical_formula_sum 'Sc4 H12 Ru4'
_cell_length_a 3.5014
_cell_length_b 3.5014
_cell_length_c 15.1416
_cell_angle_alpha 90.00
_cell_angle_beta 90.00
_cell_angle_gamma 90.00
_symmetry_space_group_name_H-M 'I -4 m 2'
_symmetry_Int_Tables_number 119
_symmetry_space_group_name_Hall 'I -4 -2'
loop_
_atom_site_label
_atom_site_type_symbol
_atom_site_fract_x
_atom_site_fract_y
_atom_site_fract_z
_atom_site_occupancy
Sc1 Sc 0.0000 0.0000 0.0000 1
Sc2 Sc 0.0000 0.5000 0.2500 1
H1 H 0.0000 0.0000 0.3307 1
H2 H 0.0000 0.2194 0.1302 1
Ru1 Ru 0.0000 0.5000 0.6398 1
# E   -5.208 eV/atom
# DOS at the Fermi energy   0.30 states/eV/atom

=====

# ScHRu3 | Alexandria via LeMat-Bulk | PBE | optimized geometry
data_ScHRu3
_chemical_formula_sum 'Sc1 H1 Ru3'
_cell_length_a 4.6943
_cell_length_b 4.6943
_cell_length_c 4.6943
_cell_angle_alpha 90.00
_cell_angle_beta 90.00
_cell_angle_gamma 90.00
_symmetry_space_group_name_H-M 'P m -3 m'
_symmetry_Int_Tables_number 221
_symmetry_space_group_name_Hall '-P 4 2 3'
loop_
_atom_site_label
_atom_site_type_symbol
_atom_site_fract_x
_atom_site_fract_y
_atom_site_fract_z
_atom_site_occupancy
Sc1 Sc 0.0000 0.0000 0.0000 1
H1 H 0.5000 0.5000 0.5000 1
Ru1 Ru 0.0000 0.0000 0.5000 1
# Distance to the lowest polymorph of the same formula   2365 meV/atom
# DOS at the Fermi energy   1.01 states/eV/atom

=====

# ScH3Ru | Alexandria via LeMat-Bulk | PBE | optimized geometry
data_ScH3Ru
_chemical_formula_sum 'Sc4 H12 Ru4'
_cell_length_a 5.8980
_cell_length_b 4.7306
_cell_length_c 6.6500
_cell_angle_alpha 90.00
_cell_angle_beta 108.36
_cell_angle_gamma 90.00
_symmetry_space_group_name_H-M 'P 1 21/c 1'
_symmetry_Int_Tables_number 14
loop_
_symmetry_equiv_pos_as_xyz
'x,y,z'
'-x,-y,-z'
'-x,y+1/2,-z+1/2'
'x,-y+1/2,z+1/2'
loop_
_atom_site_label
_atom_site_type_symbol
_atom_site_fract_x
_atom_site_fract_y
_atom_site_fract_z
_atom_site_occupancy
Sc1 Sc 0.1932 0.2365 0.1638 1
H1 H 0.1045 0.5156 0.8880 1
H2 H 0.3495 0.1062 0.9526 1
H3 H 0.4951 0.0038 0.6615 1
Ru1 Ru 0.3377 0.7416 0.9572 1
# E   -5.478 eV/atom
# DOS at the Fermi energy   0.08 states/eV/atom

=====

# ScH3Ru | Alexandria via LeMat-Bulk | PBE | optimized geometry
data_ScH3Ru
_chemical_formula_sum 'Sc4 H12 Ru4'
_cell_length_a 3.2195
_cell_length_b 3.2195
_cell_length_c 17.7225
_cell_angle_alpha 90.00
_cell_angle_beta 90.00
_cell_angle_gamma 90.00
_symmetry_space_group_name_H-M 'I -4 m 2'
_symmetry_Int_Tables_number 119
_symmetry_space_group_name_Hall 'I -4 -2'
loop_
_atom_site_label
_atom_site_type_symbol
_atom_site_fract_x
_atom_site_fract_y
_atom_site_fract_z
_atom_site_occupancy
Sc1 Sc 0.0000 0.0000 0.1094 1
H1 H 0.0000 0.2173 0.3298 1
H2 H 0.0000 0.5000 0.5426 1
Ru1 Ru 0.0000 0.0000 0.5000 1
Ru2 Ru 0.0000 0.5000 0.2500 1
# E   -5.246 eV/atom
# DOS at the Fermi energy   0.19 states/eV/atom

=====

# ScH2Ru2 | Alexandria via LeMat-Bulk | PBE | optimized geometry
data_ScH2Ru2
_chemical_formula_sum 'Sc2 H4 Ru4'
_cell_length_a 3.2662
_cell_length_b 3.2662
_cell_length_c 9.9830
_cell_angle_alpha 90.00
_cell_angle_beta 90.00
_cell_angle_gamma 90.00
_symmetry_space_group_name_H-M 'I 4/m m m'
_symmetry_Int_Tables_number 139
_symmetry_space_group_name_Hall '-I 4 2'
loop_
_atom_site_label
_atom_site_type_symbol
_atom_site_fract_x
_atom_site_fract_y
_atom_site_fract_z
_atom_site_occupancy
Sc1 Sc 0.0000 0.0000 0.0000 1
H1 H 0.0000 0.5000 0.2500 1
Ru1 Ru 0.0000 0.0000 0.3483 1
# E   -6.401 eV/atom
# DOS at the Fermi energy   1.19 states/eV/atom

=====

# ScH2Ru | Alexandria via LeMat-Bulk | PBE | optimized geometry
data_ScH2Ru
_chemical_formula_sum 'Sc4 H8 Ru4'
_cell_length_a 5.8810
_cell_length_b 6.0459
_cell_length_c 4.6046
_cell_angle_alpha 90.00
_cell_angle_beta 90.00
_cell_angle_gamma 90.00
_symmetry_space_group_name_H-M 'P n a 21'
_symmetry_Int_Tables_number 33
loop_
_symmetry_equiv_pos_as_xyz
'x,y,z'
'-x,-y,z+1/2'
'-x+1/2,y+1/2,z+1/2'
'x+1/2,-y+1/2,z'
loop_
_atom_site_label
_atom_site_type_symbol
_atom_site_fract_x
_atom_site_fract_y
_atom_site_fract_z
_atom_site_occupancy
Sc1 Sc 0.1603 0.1236 0.0000 1
H1 H 0.0131 0.6042 0.3542 1
H2 H 0.1383 0.1028 0.4965 1
Ru1 Ru 0.0537 0.6664 0.9868 1
# Distance to the lowest polymorph of the same formula   0 meV/atom
# DOS at the Fermi energy   0.59 states/eV/atom

=====

Q: What is the DOS at the Fermi energy in the third record?
A: 0.08 states/eV/atom

=====

Q: DOS at the Fermi energy of number 6 (ScH2Ru)?
A: 0.59 states/eV/atom